[1]
LaNi3Bi | PBE | relaxed

The space group is Pm-3m (No. 221) and the conventional cell measures 4.8136, 4.8136 and 4.8136 Å, with angles of 90.00, 90.00 and 90.00 degrees. Symmetry generates all atoms from La at (0.0000, 0.0000, 0.0000), Ni at (0.0000, 0.5000, 0.5000) and Bi at (0.5000, 0.5000, 0.5000).

The distance to the lowest polymorph of the same formula comes out at 0.000 eV/atom. Its total magnetization is 0.000 μB/atom. The crystal system is cubic. The formation energy from the elements comes out at 308 meV per atom.

[2]
La3CeY3S8 | PBE | relaxed

The space group is R-3m (No. 166, hexagonal axes) and the conventional cell measures 8.0064, 8.0064 and 20.0388 Å, with angles of 90.00, 90.00 and 120.00 degrees. Symmetry generates all atoms from La at (0.0000, 0.5000, 0.0000), Ce at (0.0000, 0.0000, 0.5000), Y at (0.0000, 0.5000, 0.5000), S at (0.0000, 0.0000, 0.2440) and S at (0.0087, 0.5043, 0.7543).

Its uncorrected formation energy is -31.2 eV per formula unit. Its total magnetization is 0.104 μB/atom. The crystal system is trigonal.